1.
TbCe2Sb3 | PBE | optimized geometry

Energy relative to the lowest polymorph listed for this composition: 3 meV/atom
V: 756.7 Å³/cell
E_tot: -5.88 eV/atom
Energy relative to the elements, uncorrected: -1073.4 meV per atom

Structure (CIF):
```
data_TbCe2Sb3
_chemical_formula_sum 'Tb4 Ce8 Sb12'
_cell_length_a 6.3212
_cell_length_b 13.3916
_cell_length_c 8.9386
_cell_angle_alpha 90.00
_cell_angle_beta 90.01
_cell_angle_gamma 90.00
_symmetry_space_group_name_H-M 'P 1 21/c 1'
_symmetry_Int_Tables_number 14
loop_
_symmetry_equiv_pos_as_xyz
'x,y,z'
'-x,-y,-z'
'-x,y+1/2,-z+1/2'
'x,-y+1/2,z+1/2'
loop_
_atom_site_label
_atom_site_fract_x
_atom_site_fract_y
_atom_site_fract_z
Tb1 0.2494 0.0845 0.1238
Ce1 0.2494 0.0828 0.6264
Ce2 0.2511 0.7481 0.1253
Sb1 0.2489 0.2497 0.3750
Sb2 0.2505 0.5825 0.3784
Sb3 0.2506 0.5817 0.8716
```

2.
CaTlHg2W | PBE | optimized geometry

Energy relative to the lowest polymorph listed for this composition: 30 meV/atom
V: 184.0 Å³/cell
E_tot: -2.15 eV/atom

Structure (CIF):
```
data_CaTlHg2W
_chemical_formula_sum 'Ca1 Tl1 Hg2 W1'
_cell_length_a 5.5174
_cell_length_b 5.5174
_cell_length_c 6.0444
_cell_angle_alpha 90.00
_cell_angle_beta 90.00
_cell_angle_gamma 90.00
_symmetry_space_group_name_H-M 'P 4/m m m'
_symmetry_Int_Tables_number 123
_symmetry_space_group_name_Hall '-P 4 2'
loop_
_atom_site_label
_atom_site_fract_x
_atom_site_fract_y
_atom_site_fract_z
Ca1 0.0000 0.0000 0.0000
Tl1 0.0000 0.0000 0.5000
Hg1 0.0000 0.5000 0.5000
W1 0.5000 0.5000 0.0000
```

3.
HfCdIO6 | PBE | optimized geometry

V: 251.1 Å³/cell
E_tot: -6.12 eV/atom
Energy relative to the elements, uncorrected: -1434.3 meV per atom

Structure (CIF):
```
data_HfCdIO6
_chemical_formula_sum 'Hf2 Cd2 I2 O12'
_cell_length_a 5.4577
_cell_length_b 5.4577
_cell_length_c 9.7337
_cell_angle_alpha 90.00
_cell_angle_beta 90.00
_cell_angle_gamma 120.00
_symmetry_space_group_name_H-M 'P -3 1 c'
_symmetry_Int_Tables_number 163
_symmetry_space_group_name_Hall '-P 3 2c'
loop_
_atom_site_label
_atom_site_fract_x
_atom_site_fract_y
_atom_site_fract_z
Hf1 0.3333 0.6667 0.2500
Cd1 0.0000 0.0000 0.0000
I1 0.3333 0.6667 0.7500
O1 0.0117 0.3711 0.6372
```

4.
RbTi2NbFe | PBE | optimized geometry

V: 135.0 Å³/cell
E_tot: -5.28 eV/atom

Structure (CIF):
```
data_RbTi2NbFe
_chemical_formula_sum 'Rb1 Ti2 Nb1 Fe1'
_cell_length_a 4.8402
_cell_length_b 4.8402
_cell_length_c 5.7634
_cell_angle_alpha 90.00
_cell_angle_beta 90.00
_cell_angle_gamma 90.00
_symmetry_space_group_name_H-M 'P 4/m m m'
_symmetry_Int_Tables_number 123
_symmetry_space_group_name_Hall '-P 4 2'
loop_
_atom_site_label
_atom_site_fract_x
_atom_site_fract_y
_atom_site_fract_z
Rb1 0.0000 0.0000 0.0000
Ti1 0.0000 0.5000 0.5000
Nb1 0.0000 0.0000 0.5000
Fe1 0.5000 0.5000 0.0000
```

5.
Hg3P | PBE | optimized geometry

Energy relative to the lowest polymorph listed for this composition: 215 meV/atom
V: 293.5 Å³/cell
E_tot: -1.29 eV/atom

Structure (CIF):
```
data_Hg3P
_chemical_formula_sum 'Hg9 P3'
_cell_length_a 8.2352
_cell_length_b 8.2352
_cell_length_c 4.9974
_cell_angle_alpha 90.00
_cell_angle_beta 90.00
_cell_angle_gamma 120.00
_symmetry_space_group_name_H-M 'R -3 m'
_symmetry_Int_Tables_number 166
_symmetry_space_group_name_Hall '-R 3 2"'
loop_
_atom_site_label
_atom_site_fract_x
_atom_site_fract_y
_atom_site_fract_z
Hg1 0.0000 0.5000 0.0000
P1 0.0000 0.0000 0.0000
```

6.
Nd2ThTl4 | PBE | optimized geometry

V: 221.9 Å³/cell
E_tot: -3.92 eV/atom

Structure (CIF):
```
data_Nd2ThTl4
_chemical_formula_sum 'Nd2 Th1 Tl4'
_cell_length_a 4.9660
_cell_length_b 4.9660
_cell_length_c 8.9973
_cell_angle_alpha 90.00
_cell_angle_beta 90.00
_cell_angle_gamma 90.00
_symmetry_space_group_name_H-M 'P 4/m m m'
_symmetry_Int_Tables_number 123
_symmetry_space_group_name_Hall '-P 4 2'
loop_
_atom_site_label
_atom_site_fract_x
_atom_site_fract_y
_atom_site_fract_z
Nd1 0.0000 0.0000 0.0000
Nd2 0.5000 0.5000 0.5000
Th1 0.0000 0.0000 0.5000
Tl1 0.0000 0.5000 0.2376
```